DFT (PBE) results for a geometry-optimized Tc3NiRh structure.

Calculated values
magnetic moment = 0.00 μB per formula unit

POSCAR file:
```
Tc3NiRh
1.0
4.612 0.000 0.000
0.000 4.612 0.000
0.000 0.000 4.612
Tc Ni Rh
3 1 1
Direct
0.500 0.000 0.000 Tc
0.000 0.000 0.500 Tc
0.000 0.500 0.000 Tc
0.500 0.500 0.500 Ni
0.000 0.000 0.000 Rh
```

=====

DFT (PBE) results for a geometry-optimized PIrPt structure.

Calculated values
magnetic moment = 0.00 μB per formula unit

POSCAR file:
```
PIrPt
1.0
-5.538 -0.295 -0.048
-3.873 -3.368 2.101
4.630 2.978 0.673
Pt Ir P
1 1 1
Direct
0.316 0.316 0.000 Pt
0.027 0.027 0.000 Ir
0.656 0.656 0.000 P
```

=====

DFT (PBE) results for a geometry-optimized CoNiMo3 structure.

Calculated values
magnetic moment = 0.00 μB per formula unit

POSCAR file:
```
CoNiMo3
1.0
4.407 0.000 0.000
0.000 4.407 0.000
0.000 0.000 4.407
Mo Ni Co
3 1 1
Direct
0.500 0.000 0.000 Mo
0.000 0.500 0.000 Mo
0.000 0.000 0.500 Mo
0.500 0.500 0.500 Ni
0.000 0.000 0.000 Co
```

=====

no.,uncorrected energy (eV per atom)
1,-6.751
2,-6.774
3,-7.734